A relaxed structure of H3WS, computed with GGA-PBEsol.

POSCAR file:
```
H3WS
1.0
-1.954 2.670 -1.165
-0.865 -1.871 -2.838
-2.782 -1.294 1.701
H S W
3 1 1
direct
0.000 0.500 0.000
0.000 0.000 0.500
0.500 0.000 0.000
0.500 0.500 0.500
0.000 0.000 0.000
```

Symmetry: Pm-3m
Final energy: -4.90 eV/atom

A relaxed structure of Mn3ReCl, computed with GGA-PBEsol.

POSCAR file:
```
Mn3ReCl
1.0
4.680 0.000 0.000
0.000 4.680 0.000
0.000 0.000 4.680
Re Mn Cl
1 3 1
direct
0.000 0.000 0.000
0.000 0.500 0.000
0.000 0.000 0.500
0.500 0.000 0.000
0.500 0.500 0.500
```

Symmetry: Pm-3m
Final energy: -7.51 eV/atom

A relaxed structure of Zr2CrCl, computed with GGA-PBEsol.

POSCAR file:
```
Zr2CrCl
1.0
-0.219 -1.874 -2.468
-1.350 -2.253 1.830
-6.860 2.848 -1.554
Cr Zr Cl
1 2 1
direct
0.500 0.500 0.500
0.000 0.000 0.705
0.000 0.000 0.295
0.500 0.000 0.000
```

Energy relative to the lowest polymorph listed for this composition: 0 meV/atom
Symmetry: Pmmm

A relaxed structure of ReB3F, computed with GGA-PBEsol.

POSCAR file:
```
ReB3F
1.0
-3.256 0.633 1.219
-0.490 -3.465 0.491
1.283 0.283 3.281
Re B F
1 3 1
direct
0.500 0.500 0.500
0.000 0.500 0.000
0.000 0.000 0.500
0.500 0.000 0.000
0.000 0.000 0.000
```

Symmetry: Pm-3m
Final energy: -5.82 eV/atom

A relaxed structure of Y3GaAs, computed with GGA-PBEsol.

POSCAR file:
```
Y3GaAs
1.0
-0.817 -0.278 5.193
-4.131 -3.158 -0.819
3.159 -4.202 0.272
Y As Ga
3 1 1
direct
0.000 0.500 0.000
0.000 0.000 0.500
0.500 0.000 0.000
0.000 0.000 0.000
0.500 0.500 0.500
```

Symmetry: Pm-3m
E_form: -0.458 eV per atom

A relaxed structure of RbTcW2Br, computed with GGA-PBEsol.

POSCAR file:
```
RbTcW2Br
1.0
-3.856 2.172 -1.671
-2.302 -1.001 4.010
1.706 4.681 2.147
Rb Br Tc W
1 1 1 2
direct
0.000 0.000 0.000
0.000 0.000 0.500
0.500 0.500 0.500
0.000 0.500 0.000
0.500 0.000 0.000
```

Symmetry: P4/mmm
Final energy: -4.42 eV/atom